Na3SeO | PBE-GGA | relaxed

Cell and atoms, written as extended XYZ:
```
5
Lattice="4.594 0.000 0.000 0.000 4.594 0.000 0.000 0.000 4.594" Properties=species:S:1:pos:R:3 pbc="T T T"
Na 0.000 2.297 0.000
Na 0.000 0.000 2.297
Na 2.297 0.000 0.000
O 0.000 0.000 0.000
Se 2.297 2.297 2.297
```

Output
As for the uncorrected formation energy: -0.99 eV per atom. As for the crystal system: cubic.